Material: TiVO4
Method: DFT, GGA+U
State: relaxed

Structure (POSCAR):
```
TiVO4
1.0
4.589 0.000 0.000
0.000 5.481 -0.021
0.000 -2.197 5.025
O Ti V
8 2 2
Direct
0.797 0.647 0.850 O
0.203 0.353 0.150 O
0.804 0.155 0.349 O
0.703 0.147 0.850 O
0.304 0.345 0.651 O
0.297 0.853 0.150 O
0.696 0.655 0.349 O
0.196 0.845 0.651 O
0.000 0.500 0.500 Ti
0.500 0.000 0.500 Ti
0.000 0.000 0.000 V
0.500 0.500 0.000 V
```

raw total energy: -8.35 eV/atom